Computed, not measured: crystalline BaInSb2 at its relaxed geometry at the PBE level of DFT.

Geometry as CIF:
```
data_BaInSb2
_space_group_name_H-M_alt 'P 1'
_space_group_IT_number 1
_space_group_name_Hall 'P 1'
_cell_length_a 6.1007
_cell_length_b 6.1007
_cell_length_c 3.6659
_cell_angle_alpha 90.00
_cell_angle_beta 90.00
_cell_angle_gamma 107.54
loop_
_atom_site_label
_atom_site_fract_x
_atom_site_fract_y
_atom_site_fract_z
Ba1 0.5000 0.0000 0.5000
In1 0.0000 0.5000 0.5000
Sb1 0.0000 0.0000 0.0000
Sb2 0.5000 0.5000 0.0000
```

Output
Final energy in eV per atom: -3.591
ΔE_f (raw) in eV/atom: -0.364
Crystal system: orthorhombic